a) Below is crystalline TaRuPt at its relaxed geometry, with properties calculated at the PBE level.

a = 7.272 Å, b = 7.556 Å, c = 7.556 Å
α = 59.27°, β = 61.23°, γ = 61.23°
Atoms (fractional coordinates):
Pt1 0.269 0.925 0.425
Pt2 0.619 0.075 0.575
Pt3 0.755 0.537 0.037
Pt4 0.328 0.463 0.963
Pt5 0.819 0.288 0.788
Pt6 0.895 0.712 0.212
Ru1 0.512 0.500 0.500
Ru2 0.512 0.000 0.000
Ru3 0.219 0.939 0.822
Ru4 0.980 0.061 0.178
Ru5 0.980 0.678 0.561
Ru6 0.219 0.322 0.439
Ta1 0.314 0.688 0.188
Ta2 0.190 0.312 0.812
Ta3 0.583 0.707 0.633
Ta4 0.923 0.293 0.367
Ta5 0.923 0.867 0.793
Ta6 0.583 0.133 0.207

Total magnetic moment ... 0.000 μB per cell
Space-group type ... Ima2, No. 46


b) Below is crystalline TaRuPt at its relaxed geometry, with properties calculated at the PBE level.

a = 4.277 Å, b = 4.277 Å, c = 4.277 Å
α = 60.00°, β = 60.00°, γ = 60.00°
Atoms (fractional coordinates):
Pt1 0.000 0.000 0.000
Ru1 0.500 0.500 0.500
Ta1 0.250 0.250 0.250

Total magnetic moment ... 0.000 μB per cell
Space-group type ... F-43m, No. 216


c) Below is crystalline TaRuPt at its relaxed geometry, with properties calculated at the PBE level.

a = 4.479 Å, b = 4.479 Å, c = 5.508 Å
α = 90.00°, β = 90.00°, γ = 120.00°
Atoms (fractional coordinates):
Ta1 0.667 0.834 0.750
Ta2 0.333 0.166 0.250
Ru1 0.000 0.500 0.000
Ru2 0.000 0.500 0.500
Pt1 0.667 0.833 0.250
Pt2 0.333 0.167 0.750

Total magnetic moment ... 0.000 μB per cell
Space-group type ... P6_3/mmc, No. 194


Relative to the most stable one, in eV/atom, the structures come out at a) 0.171; b) 0.344; c) 0.000.


a) Below is crystalline Tb4RuPt at its relaxed geometry, with properties calculated at the PBE level.

a = 6.351 Å, b = 7.568 Å, c = 7.942 Å
α = 113.96°, β = 108.43°, γ = 100.12°
Atoms (fractional coordinates):
Tb1 0.010 0.235 0.873
Tb2 0.795 0.696 0.648
Tb3 0.363 0.637 0.873
Tb4 0.353 0.951 0.648
Tb5 0.647 0.049 0.352
Tb6 0.637 0.363 0.127
Tb7 0.205 0.304 0.352
Tb8 0.990 0.765 0.127
Ru1 0.253 0.003 0.005
Ru2 0.747 0.997 0.995
Pt1 0.387 0.637 0.273
Pt2 0.613 0.363 0.727

Total magnetic moment ... 0.000 μB per cell
Space-group type ... C2/c, No. 15


b) Below is crystalline Tb4RuPt at its relaxed geometry, with properties calculated at the PBE level.

a = 6.888 Å, b = 6.888 Å, c = 6.921 Å
α = 90.00°, β = 91.62°, γ = 90.00°
Atoms (fractional coordinates):
Tb1 0.843 0.664 0.172
Tb2 0.657 0.164 0.828
Tb3 0.326 0.334 0.339
Tb4 0.174 0.834 0.661
Tb5 0.157 0.336 0.828
Tb6 0.343 0.836 0.172
Tb7 0.674 0.666 0.661
Tb8 0.826 0.166 0.339
Ru1 0.500 0.000 0.500
Ru2 0.000 0.500 0.500
Pt1 0.000 0.000 0.000
Pt2 0.500 0.500 0.000

Total magnetic moment ... 0.000 μB per cell
Space-group type ... P2_1/c, No. 14


Relative to the most stable one, in eV/atom, the structures come out at a) 0.000; b) 0.061.


a) Below is crystalline TbThRuPt at its relaxed geometry, with properties calculated at the PBE level.

a = 3.898 Å, b = 4.129 Å, c = 5.954 Å
α = 90.00°, β = 109.11°, γ = 90.00°
Atoms (fractional coordinates):
Tb1 0.857 0.500 0.714
Th1 0.137 0.000 0.274
Ru1 0.594 0.500 0.189
Pt1 0.412 0.000 0.823

Total magnetic moment ... 0.000 μB per cell
Space-group type ... Amm2, No. 38


b) Below is crystalline TbThRuPt at its relaxed geometry, with properties calculated at the PBE level.

a = 4.997 Å, b = 4.997 Å, c = 4.997 Å
α = 60.00°, β = 60.00°, γ = 60.00°
Atoms (fractional coordinates):
Ru1 0.250 0.250 0.250
Tb1 0.000 0.000 0.000
Pt1 0.750 0.750 0.750
Th1 0.500 0.500 0.500

Total magnetic moment ... 0.000 μB per cell
Space-group type ... F-43m, No. 216


Relative to the most stable one, in eV/atom, the structures come out at a) 0.000; b) 0.143.


a) Below is crystalline TbTmRuPt at its relaxed geometry, with properties calculated at the PBE level.

a = 3.456 Å, b = 3.456 Å, c = 6.747 Å
α = 90.00°, β = 90.00°, γ = 90.00°
Atoms (fractional coordinates):
Tb1 0.500 0.500 0.113
Tm1 0.500 0.500 0.602
Ru1 0.000 0.000 0.362
Pt1 0.000 0.000 0.851

Total magnetic moment ... 0.000 μB per cell
Space-group type ... P4mm, No. 99


b) Below is crystalline TbTmRuPt at its relaxed geometry, with properties calculated at the PBE level.

a = 4.847 Å, b = 4.847 Å, c = 4.847 Å
α = 60.00°, β = 60.00°, γ = 60.00°
Atoms (fractional coordinates):
Ru1 0.250 0.250 0.250
Tm1 0.500 0.500 0.500
Tb1 0.000 0.000 0.000
Pt1 0.750 0.750 0.750

Total magnetic moment ... 0.000 μB per cell
Space-group type ... F-43m, No. 216


Relative to the most stable one, in eV/atom, the structures come out at a) 0.000; b) 0.049.


a) Below is crystalline TbYRuPt at its relaxed geometry, with properties calculated at the PBE level.

a = 3.481 Å, b = 3.481 Å, c = 6.816 Å
α = 90.00°, β = 90.00°, γ = 90.00°
Atoms (fractional coordinates):
Tb1 0.500 0.500 0.602
Y1 0.500 0.500 0.112
Ru1 0.000 0.000 0.358
Pt1 0.000 0.000 0.856

Total magnetic moment ... 0.000 μB per cell
Space-group type ... P4mm, No. 99


b) Below is crystalline TbYRuPt at its relaxed geometry, with properties calculated at the PBE level.

a = 4.887 Å, b = 4.887 Å, c = 4.887 Å
α = 60.00°, β = 60.00°, γ = 60.00°
Atoms (fractional coordinates):
Y1 0.500 0.500 0.500
Ru1 0.250 0.250 0.250
Tb1 0.000 0.000 0.000
Pt1 0.750 0.750 0.750

Total magnetic moment ... 0.000 μB per cell
Space-group type ... F-43m, No. 216


Relative to the most stable one, in eV/atom, the structures come out at a) 0.000; b) 0.043.


a) Below is crystalline TcRuPt2 at its relaxed geometry, with properties calculated at the PBE level.

a = 2.746 Å, b = 3.893 Å, c = 5.567 Å
α = 90.00°, β = 90.00°, γ = 90.00°
Atoms (fractional coordinates):
Ru1 0.000 0.000 0.514
Tc1 0.500 0.500 0.737
Pt1 0.000 0.000 0.994
Pt2 0.500 0.500 0.256

Total magnetic moment ... 0.000 μB per cell
Space-group type ... Pmm2, No. 25


b) Below is crystalline TcRuPt2 at its relaxed geometry, with properties calculated at the PBE level.

a = 4.428 Å, b = 4.428 Å, c = 4.428 Å
α = 60.00°, β = 60.00°, γ = 60.00°
Atoms (fractional coordinates):
Pt1 0.000 0.000 0.000
Pt2 0.250 0.250 0.250
Ru1 0.500 0.500 0.500
Tc1 0.750 0.750 0.750

Total magnetic moment ... 1.942 μB per cell
Space-group type ... F-43m, No. 216


Relative to the most stable one, in eV/atom, the structures come out at a) 0.000; b) 0.397.


a) Below is crystalline TcRuPt2 at its relaxed geometry, with properties calculated at the PBE level.

a = 4.421 Å, b = 4.421 Å, c = 4.421 Å
α = 60.00°, β = 60.00°, γ = 60.00°
Atoms (fractional coordinates):
Ru1 0.500 0.500 0.500
Tc1 0.000 0.000 0.000
Pt1 0.250 0.250 0.250
Pt2 0.750 0.750 0.750

Total magnetic moment ... 0.001 μB per cell
Space-group type ... Fm-3m, No. 225


b) Below is crystalline TcRuPt2 at its relaxed geometry, with properties calculated at the PBE level.

a = 9.212 Å, b = 9.212 Å, c = 9.212 Å
α = 17.19°, β = 17.19°, γ = 17.19°
Atoms (fractional coordinates):
Pt1 0.001 0.001 0.001
Pt2 0.499 0.499 0.499
Ru1 0.250 0.250 0.250
Tc1 0.750 0.750 0.750

Total magnetic moment ... 0.001 μB per cell
Space-group type ... R-3m, No. 166


Relative to the most stable one, in eV/atom, the structures come out at a) 0.313; b) 0.000.


a) Below is crystalline TcRuPt2 at its relaxed geometry, with properties calculated at the PBE level.

a = 4.779 Å, b = 4.779 Å, c = 4.779 Å
α = 131.83°, β = 131.84°, γ = 70.50°
Atoms (fractional coordinates):
Ru1 0.500 0.500 0.000
Tc1 0.750 0.250 0.500
Pt1 0.000 0.000 0.000
Pt2 0.250 0.750 0.500

Total magnetic moment ... 0.003 μB per cell
Space-group type ... I-4m2, No. 119


b) Below is crystalline TcRuPt2 at its relaxed geometry, with properties calculated at the PBE level.

a = 2.733 Å, b = 2.733 Å, c = 7.957 Å
α = 90.00°, β = 90.00°, γ = 90.00°
Atoms (fractional coordinates):
Pt1 0.000 0.000 0.998
Pt2 0.000 0.000 0.502
Ru1 0.500 0.500 0.250
Tc1 0.500 0.500 0.750

Total magnetic moment ... 0.583 μB per cell
Space-group type ... P4/mmm, No. 123


c) Below is crystalline TcRuPt2 at its relaxed geometry, with properties calculated at the PBE level.

a = 2.752 Å, b = 2.752 Å, c = 7.882 Å
α = 90.00°, β = 90.00°, γ = 89.99°
Atoms (fractional coordinates):
Ru1 0.000 0.000 0.515
Tc1 0.500 0.500 0.737
Pt1 0.000 0.000 0.990
Pt2 0.500 0.500 0.258

Total magnetic moment ... 0.000 μB per cell
Space-group type ... P4mm, No. 99


d) Below is crystalline TcRuPt2 at its relaxed geometry, with properties calculated at the PBE level.

a = 5.633 Å, b = 5.633 Å, c = 6.831 Å
α = 65.65°, β = 65.65°, γ = 90.00°
Atoms (fractional coordinates):
Ru1 0.000 0.000 0.000
Ru2 0.750 0.250 0.500
Tc1 0.500 0.500 0.000
Tc2 0.250 0.750 0.500
Pt1 0.623 0.125 0.250
Pt2 0.127 0.625 0.250
Pt3 0.375 0.377 0.750
Pt4 0.875 0.873 0.750

Total magnetic moment ... 0.000 μB per cell
Space-group type ... I-42d, No. 122


Relative to the most stable one, in eV/atom, the structures come out at a) 0.048; b) 0.102; c) 0.000; d) 1.130.


a) Below is crystalline TcRu4Pt at its relaxed geometry, with properties calculated at the PBE level.

a = 5.035 Å, b = 5.035 Å, c = 5.035 Å
α = 60.00°, β = 60.00°, γ = 60.00°
Atoms (fractional coordinates):
Tc1 0.750 0.750 0.750
Ru1 0.876 0.375 0.375
Ru2 0.375 0.375 0.876
Ru3 0.375 0.876 0.375
Ru4 0.375 0.375 0.375
Pt1 0.000 0.000 0.000

Total magnetic moment ... 0.000 μB per cell
Space-group type ... F-43m, No. 216


b) Below is crystalline TcRu4Pt at its relaxed geometry, with properties calculated at the PBE level.

a = 3.276 Å, b = 3.276 Å, c = 8.229 Å
α = 90.00°, β = 90.00°, γ = 90.00°
Atoms (fractional coordinates):
Tc1 0.500 0.500 0.500
Ru1 0.500 0.500 0.827
Ru2 0.500 0.500 0.173
Ru3 0.000 0.000 0.337
Ru4 0.000 0.000 0.663
Pt1 0.000 0.000 0.000

Total magnetic moment ... 2.019 μB per cell
Space-group type ... P4/mmm, No. 123


Relative to the most stable one, in eV/atom, the structures come out at a) 0.128; b) 0.000.


a) Below is crystalline Tc2Ru2Pt at its relaxed geometry, with properties calculated at the PBE level.

a = 7.420 Å, b = 7.420 Å, c = 2.754 Å
α = 90.00°, β = 90.00°, γ = 90.00°
Atoms (fractional coordinates):
Ru1 0.169 0.669 0.500
Ru2 0.669 0.831 0.500
Ru3 0.831 0.331 0.500
Ru4 0.331 0.169 0.500
Tc1 0.377 0.877 0.000
Tc2 0.877 0.623 0.000
Tc3 0.623 0.123 0.000
Tc4 0.123 0.377 0.000
Pt1 0.000 0.000 0.000
Pt2 0.500 0.500 0.000

Total magnetic moment ... 0.000 μB per cell
Space-group type ... P4/mbm, No. 127


b) Below is crystalline Tc2Ru2Pt at its relaxed geometry, with properties calculated at the PBE level.

a = 7.385 Å, b = 7.385 Å, c = 2.763 Å
α = 90.00°, β = 90.00°, γ = 90.00°
Atoms (fractional coordinates):
Ru1 0.374 0.874 0.000
Ru2 0.874 0.626 0.000
Ru3 0.626 0.126 0.000
Ru4 0.126 0.374 0.000
Tc1 0.168 0.668 0.500
Tc2 0.668 0.832 0.500
Tc3 0.832 0.332 0.500
Tc4 0.332 0.168 0.500
Pt1 0.000 0.000 0.000
Pt2 0.500 0.500 0.000

Total magnetic moment ... 0.000 μB per cell
Space-group type ... P4/mbm, No. 127


Relative to the most stable one, in eV/atom, the structures come out at a) 0.042; b) 0.000.


a) Below is crystalline Tc4RuPt at its relaxed geometry, with properties calculated at the PBE level.

a = 5.064 Å, b = 5.064 Å, c = 5.064 Å
α = 60.00°, β = 60.00°, γ = 60.00°
Atoms (fractional coordinates):
Tc1 0.624 0.624 0.127
Tc2 0.624 0.127 0.624
Tc3 0.624 0.624 0.624
Tc4 0.127 0.624 0.624
Ru1 0.000 0.000 0.000
Pt1 0.250 0.250 0.250

Total magnetic moment ... 0.000 μB per cell
Space-group type ... F-43m, No. 216


b) Below is crystalline Tc4RuPt at its relaxed geometry, with properties calculated at the PBE level.

a = 4.326 Å, b = 13.911 Å, c = 6.974 Å
α = 143.54°, β = 71.92°, γ = 128.48°
Atoms (fractional coordinates):
Tc1 0.230 0.859 0.977
Tc2 0.747 0.617 0.977
Tc3 0.169 0.668 0.333
Tc4 0.831 0.332 0.667
Tc5 0.836 0.835 0.667
Tc6 0.253 0.383 0.023
Tc7 0.164 0.165 0.333
Tc8 0.770 0.141 0.023
Ru1 0.327 0.577 0.653
Ru2 0.673 0.423 0.347
Pt1 0.341 0.091 0.681
Pt2 0.659 0.909 0.319

Total magnetic moment ... 0.000 μB per cell
Space-group type ... Imma, No. 74


Relative to the most stable one, in eV/atom, the structures come out at a) 0.234; b) 0.000.


a) Below is crystalline TeRuPt at its relaxed geometry, with properties calculated at the PBE level.

a = 4.013 Å, b = 3.988 Å, c = 8.771 Å
α = 90.00°, β = 90.00°, γ = 120.21°
Atoms (fractional coordinates):
Pt1 0.611 0.223 0.000
Pt2 0.277 0.554 0.500
Ru1 0.612 0.224 0.334
Ru2 0.612 0.224 0.666
Te1 0.277 0.555 0.807
Te2 0.277 0.555 0.193

Total magnetic moment ... 0.000 μB per cell
Space-group type ... Amm2, No. 38


b) Below is crystalline TeRuPt at its relaxed geometry, with properties calculated at the PBE level.

a = 3.182 Å, b = 3.182 Å, c = 6.180 Å
α = 90.00°, β = 90.00°, γ = 120.00°
Atoms (fractional coordinates):
Pt1 0.000 0.000 0.004
Ru1 0.667 0.333 0.343
Te1 0.333 0.667 0.653

Total magnetic moment ... 0.000 μB per cell
Space-group type ... P3m1, No. 156


Relative to the most stable one, in eV/atom, the structures come out at a) 0.000; b) 0.136.